[1]
# AlFe2Ir

An optimized crystal structure of AlFe2Ir (PBE-GGA, the Alexandria database).

CIF file:
```
data_AlFe2Ir
_chemical_formula_sum 'Al1 Fe2 Ir1'
_cell_length_a 2.694
_cell_length_b 2.694
_cell_length_c 7.069
_cell_angle_alpha 90.00
_cell_angle_beta 90.00
_cell_angle_gamma 90.00
_space_group_name_H-M_alt 'P 1'
_space_group_IT_number 1
loop_
_space_group_symop_operation_xyz
'x,y,z'
loop_
_atom_site_label
_atom_site_fract_x
_atom_site_fract_y
_atom_site_fract_z
Ir1 0.500 0.500 0.250
Fe1 0.000 0.000 0.995
Fe2 0.000 0.000 0.505
Al1 0.500 0.500 0.750
```

Values from the calculation:
ρ in g/cm3: 10.7
Volume in Å³/atom: 12.83
N(E_F) in states/eV per cell: 3.10
ΔH_f (0 K) in eV per atom: -0.17


[2]
# NpB2Ir

An optimized crystal structure of NpB2Ir (PBE-GGA, the Alexandria database).

CIF file:
```
data_NpB2Ir
_chemical_formula_sum 'Np1 B2 Ir1'
_cell_length_a 3.672
_cell_length_b 3.672
_cell_length_c 5.046
_cell_angle_alpha 68.67
_cell_angle_beta 68.67
_cell_angle_gamma 60.00
_space_group_name_H-M_alt 'P 1'
_space_group_IT_number 1
loop_
_space_group_symop_operation_xyz
'x,y,z'
loop_
_atom_site_label
_atom_site_fract_x
_atom_site_fract_y
_atom_site_fract_z
Np1 0.500 0.500 0.500
B1 0.288 0.288 0.135
B2 0.712 0.712 0.865
Ir1 0.000 0.000 0.000
```

Values from the calculation:
ρ in g/cm3: 14.0
Volume in Å³/atom: 13.37
N(E_F) in states/eV per cell: 7.27
ΔH_f (0 K) in eV per atom: -0.13


[3]
# CaAgMo

An optimized crystal structure of CaAgMo (PBE-GGA, the Alexandria database).

CIF file:
```
data_CaAgMo
_chemical_formula_sum 'Ca1 Ag1 Mo1'
_cell_length_a 4.856
_cell_length_b 4.856
_cell_length_c 4.856
_cell_angle_alpha 60.00
_cell_angle_beta 60.00
_cell_angle_gamma 60.00
_space_group_name_H-M_alt 'P 1'
_space_group_IT_number 1
loop_
_space_group_symop_operation_xyz
'x,y,z'
loop_
_atom_site_label
_atom_site_fract_x
_atom_site_fract_y
_atom_site_fract_z
Mo1 0.000 0.000 0.000
Ca1 0.750 0.750 0.750
Ag1 0.500 0.500 0.500
```

Values from the calculation:
ρ in g/cm3: 5.0
Volume in Å³/atom: 26.99
N(E_F) in states/eV per cell: 2.52
ΔH_f (0 K) in eV per atom: 1.41


[4]
# KEuHfZrO6

An optimized crystal structure of KEuHfZrO6 (PBE-GGA, the Alexandria database).

CIF file:
```
data_KEuHfZrO6
_chemical_formula_sum 'K1 Eu1 Hf1 Zr1 O6'
_cell_length_a 5.892
_cell_length_b 5.892
_cell_length_c 5.892
_cell_angle_alpha 60.00
_cell_angle_beta 60.00
_cell_angle_gamma 60.00
_space_group_name_H-M_alt 'P 1'
_space_group_IT_number 1
loop_
_space_group_symop_operation_xyz
'x,y,z'
loop_
_atom_site_label
_atom_site_fract_x
_atom_site_fract_y
_atom_site_fract_z
K1 0.750 0.750 0.750
Eu1 0.250 0.250 0.250
Hf1 0.000 0.000 0.000
Zr1 0.500 0.500 0.500
O1 0.248 0.752 0.248
O2 0.752 0.248 0.752
O3 0.248 0.752 0.752
O4 0.752 0.248 0.248
O5 0.248 0.248 0.752
O6 0.752 0.752 0.248
```

Values from the calculation:
ρ in g/cm3: 6.4
Volume in Å³/atom: 14.46
N(E_F) in states/eV per cell: 12.88
Raw formation energy in meV/atom: -2914


[5]
# Ca2RhBr

An optimized crystal structure of Ca2RhBr (PBE-GGA, the Alexandria database).

CIF file:
```
data_Ca2RhBr
_chemical_formula_sum 'Ca2 Rh1 Br1'
_cell_length_a 4.080
_cell_length_b 4.080
_cell_length_c 7.760
_cell_angle_alpha 74.78
_cell_angle_beta 74.78
_cell_angle_gamma 60.05
_space_group_name_H-M_alt 'P 1'
_space_group_IT_number 1
loop_
_space_group_symop_operation_xyz
'x,y,z'
loop_
_atom_site_label
_atom_site_fract_x
_atom_site_fract_y
_atom_site_fract_z
Ca1 0.014 0.014 0.958
Ca2 0.486 0.486 0.542
Rh1 0.750 0.750 0.750
Br1 0.250 0.250 0.250
```

Values from the calculation:
ρ in g/cm3: 4.1
Volume in Å³/atom: 26.66
N(E_F) in states/eV per cell: 2.07
Raw formation energy in meV/atom: -881


[6]
# Li3GeN

An optimized crystal structure of Li3GeN (PBE-GGA, the Alexandria database).

CIF file:
```
data_Li3GeN
_chemical_formula_sum 'Li3 Ge1 N1'
_cell_length_a 4.962
_cell_length_b 4.962
_cell_length_c 4.962
_cell_angle_alpha 90.00
_cell_angle_beta 90.00
_cell_angle_gamma 90.00
_space_group_name_H-M_alt 'P 1'
_space_group_IT_number 1
loop_
_space_group_symop_operation_xyz
'x,y,z'
loop_
_atom_site_label
_atom_site_fract_x
_atom_site_fract_y
_atom_site_fract_z
Ge1 0.000 0.000 0.000
Li1 0.000 0.500 0.000
Li2 0.000 0.000 0.500
Li3 0.500 0.000 0.000
N1 0.500 0.500 0.500
```

Values from the calculation:
ρ in g/cm3: 1.5
Volume in Å³/atom: 24.44
N(E_F) in states/eV per cell: 1.22
Raw formation energy in meV/atom: 1011


[7]
# Ba2Mn2Ir

An optimized crystal structure of Ba2Mn2Ir (PBE-GGA, the Alexandria database).

CIF file:
```
data_Ba2Mn2Ir
_chemical_formula_sum 'Ba2 Mn2 Ir1'
_cell_length_a 3.719
_cell_length_b 3.719
_cell_length_c 10.520
_cell_angle_alpha 79.82
_cell_angle_beta 79.82
_cell_angle_gamma 90.00
_space_group_name_H-M_alt 'P 1'
_space_group_IT_number 1
loop_
_space_group_symop_operation_xyz
'x,y,z'
loop_
_atom_site_label
_atom_site_fract_x
_atom_site_fract_y
_atom_site_fract_z
Ir1 0.000 0.000 0.000
Ba1 0.408 0.408 0.184
Ba2 0.592 0.592 0.816
Mn1 0.750 0.250 0.500
Mn2 0.250 0.750 0.500
```

Values from the calculation:
ρ in g/cm3: 6.8
Volume in Å³/atom: 28.18
N(E_F) in states/eV per cell: 5.37
ΔH_f (0 K) in eV per atom: 0.57


[8]
# In2SbW

An optimized crystal structure of In2SbW (PBE-GGA, the Alexandria database).

CIF file:
```
data_In2SbW
_chemical_formula_sum 'In2 Sb1 W1'
_cell_length_a 3.816
_cell_length_b 3.816
_cell_length_c 5.874
_cell_angle_alpha 90.00
_cell_angle_beta 90.00
_cell_angle_gamma 90.00
_space_group_name_H-M_alt 'P 1'
_space_group_IT_number 1
loop_
_space_group_symop_operation_xyz
'x,y,z'
loop_
_atom_site_label
_atom_site_fract_x
_atom_site_fract_y
_atom_site_fract_z
In1 0.000 0.000 0.986
In2 0.000 0.000 0.514
Sb1 0.500 0.500 0.250
W1 0.500 0.500 0.750
```

Values from the calculation:
ρ in g/cm3: 10.4
Volume in Å³/atom: 21.39
N(E_F) in states/eV per cell: 2.39
Raw formation energy in meV/atom: 660


- ρ of number 7 (Ba2Mn2Ir)?
  6.8 g/cm3


What did the second record say?
# NpB2Ir

An optimized crystal structure of NpB2Ir (PBE-GGA, the Alexandria database).

CIF file:
```
data_NpB2Ir
_chemical_formula_sum 'Np1 B2 Ir1'
_cell_length_a 3.672
_cell_length_b 3.672
_cell_length_c 5.046
_cell_angle_alpha 68.67
_cell_angle_beta 68.67
_cell_angle_gamma 60.00
_space_group_name_H-M_alt 'P 1'
_space_group_IT_number 1
loop_
_space_group_symop_operation_xyz
'x,y,z'
loop_
_atom_site_label
_atom_site_fract_x
_atom_site_fract_y
_atom_site_fract_z
Np1 0.500 0.500 0.500
B1 0.288 0.288 0.135
B2 0.712 0.712 0.865
Ir1 0.000 0.000 0.000
```

Values from the calculation:
ρ in g/cm3: 14.0
Volume in Å³/atom: 13.37
N(E_F) in states/eV per cell: 7.27
ΔH_f (0 K) in eV per atom: -0.13


- Which value of ρ does entry 7 give?
  6.8 g/cm3


- The lowest ρ belongs to which entry?
  Li3GeN